[1]
Below is crystalline CsDySe2 at its relaxed geometry, with properties calculated at the PBE level.

Cell lengths 8.7991, 8.7991, 8.7991 Å; angles 27.98, 27.98, 27.98 degrees
Last column: nearest neighbours and their distance in Å.
Fractional positions:
Cs: 0.0000 0.0000 0.0000  6 Se 3.58-3.66
Dy: 0.1687 0.1687 0.1687  6 Se 2.91
Se: 0.5638 0.5638 0.5638  3 Dy 2.91
Se: 0.7738 0.7738 0.7738  3 Dy 2.91

The value obtained for the total energy is -4.82 eV/atom. The crystal system is trigonal. Its symmetry is No. 160. The total magnetization is 0.0 μB/f.u. The density of states at the Fermi level comes out at 0.000 states/eV per cell. Its mass density is 5.68 g cm⁻³. The value obtained for the uncorrected formation energy is -1.71 eV per atom.

---

[2]
Below is crystalline Cs4Sm3DySe8 at its relaxed geometry, with properties calculated at the PBE level.

Cell lengths 9.7714, 9.7714, 9.7714 Å; angles 52.63, 52.63, 52.63 degrees
Last column: nearest neighbours and their distance in Å.
Fractional positions:
Cs: 0.0000 0.0000 0.0000  6 Se 3.65
Cs: 0.0000 0.5000 0.5000  6 Se 3.61
Cs: 0.5000 0.0000 0.5000  6 Se 3.61
Cs: 0.5000 0.5000 0.0000  6 Se 3.61
Sm: 0.0000 0.0000 0.5000  6 Se 2.96-2.97
Sm: 0.0000 0.5000 0.0000  6 Se 2.96-2.97
Sm: 0.5000 0.0000 0.0000  6 Se 2.96-2.97
Dy: 0.5000 0.5000 0.5000  6 Se 2.92
Se: 0.2297 0.2297 0.2297  3 Sm 2.96
Se: 0.2338 0.7267 0.7267  1 Dy 2.92, 2 Sm 2.97
Se: 0.2733 0.2733 0.7662  1 Dy 2.92, 2 Sm 2.97
Se: 0.2733 0.7662 0.2733  1 Dy 2.92, 2 Sm 2.97
Se: 0.7267 0.2338 0.7267  1 Dy 2.92, 2 Sm 2.97
Se: 0.7267 0.7267 0.2338  1 Dy 2.92, 2 Sm 2.97
Se: 0.7662 0.2733 0.2733  1 Dy 2.92, 2 Sm 2.97
Se: 0.7703 0.7703 0.7703  3 Sm 2.96

The value obtained for the total energy is -4.86 eV/atom. The crystal system is trigonal. Its symmetry is No. 166. The total magnetization is 0.0 μB/f.u. The density of states at the Fermi level comes out at 0.000 states/eV per cell. Its mass density is 5.41 g cm⁻³. The value obtained for the uncorrected formation energy is -1.73 eV per atom.

---

[3]
Below is crystalline Cs3Sm2DySe6 at its relaxed geometry, with properties calculated at the PBE level.

Cell lengths 7.4892, 7.4892, 8.7544 Å; angles 98.20, 98.20, 120.00 degrees
Last column: nearest neighbours and their distance in Å.
Fractional positions:
Cs: 0.0000 0.0000 0.0000  6 Se 3.61-3.64
Cs: 0.3321 0.6679 0.0000  6 Se 3.61-3.64
Cs: 0.6679 0.3321 0.0000  6 Se 3.61-3.64
Sm: 0.1666 0.8334 0.5000  6 Se 2.97
Sm: 0.8334 0.1666 0.5000  6 Se 2.97
Dy: 0.5000 0.5000 0.5000  6 Se 2.92
Se: 0.1092 0.4375 0.3126  1 Dy 2.92, 2 Sm 2.97
Se: 0.2344 0.2344 0.6880  1 Dy 2.92, 2 Sm 2.97
Se: 0.4375 0.1092 0.3126  1 Dy 2.92, 2 Sm 2.97
Se: 0.5625 0.8908 0.6874  1 Dy 2.92, 2 Sm 2.97
Se: 0.7656 0.7656 0.3120  1 Dy 2.92, 2 Sm 2.97
Se: 0.8908 0.5625 0.6874  1 Dy 2.92, 2 Sm 2.97

The value obtained for the total energy is -4.85 eV/atom. The crystal system is monoclinic. Its symmetry is No. 12. The total magnetization is 0.0 μB/f.u. The density of states at the Fermi level comes out at 0.000 states/eV per cell. Its mass density is 5.44 g cm⁻³. The value obtained for the uncorrected formation energy is -1.73 eV per atom.

---

[4]
Below is crystalline Cs4SmDy3Se8 at its relaxed geometry, with properties calculated at the PBE level.

Cell lengths 9.7337, 9.7337, 9.7337 Å; angles 52.28, 52.28, 52.28 degrees
Last column: nearest neighbours and their distance in Å.
Fractional positions:
Cs: 0.0000 0.0000 0.0000  6 Se 3.59
Cs: 0.0000 0.5000 0.5000  6 Se 3.62
Cs: 0.5000 0.0000 0.5000  6 Se 3.62
Cs: 0.5000 0.5000 0.0000  6 Se 3.62
Sm: 0.5000 0.5000 0.5000  6 Se 2.96
Dy: 0.0000 0.0000 0.5000  6 Se 2.91-2.92
Dy: 0.0000 0.5000 0.0000  6 Se 2.91-2.92
Dy: 0.5000 0.0000 0.0000  6 Se 2.91-2.92
Se: 0.2244 0.7311 0.7311  2 Dy 2.91, 1 Sm 2.96
Se: 0.2283 0.2283 0.2283  3 Dy 2.92
Se: 0.2689 0.2689 0.7756  2 Dy 2.91, 1 Sm 2.96
Se: 0.2689 0.7756 0.2689  2 Dy 2.91, 1 Sm 2.96
Se: 0.7311 0.2244 0.7311  2 Dy 2.91, 1 Sm 2.96
Se: 0.7311 0.7311 0.2244  2 Dy 2.91, 1 Sm 2.96
Se: 0.7717 0.7717 0.7717  3 Dy 2.92
Se: 0.7756 0.2689 0.2689  2 Dy 2.91, 1 Sm 2.96

The value obtained for the total energy is -4.84 eV/atom. The crystal system is trigonal. Its symmetry is No. 166. The total magnetization is 0.0 μB/f.u. The density of states at the Fermi level comes out at 0.000 states/eV per cell. Its mass density is 5.60 g cm⁻³. The value obtained for the uncorrected formation energy is -1.73 eV per atom.

---

[5]
Below is crystalline Cs3Dy2SnSe6 at its relaxed geometry, with properties calculated at the PBE level.

Cell lengths 7.4276, 7.4276, 8.7071 Å; angles 98.16, 98.16, 120.01 degrees
Last column: nearest neighbours and their distance in Å.
Fractional positions:
Cs: 0.0000 0.0000 0.0000  6 Se 3.60-3.62
Cs: 0.3340 0.6660 0.0000  6 Se 3.61-3.62
Cs: 0.6660 0.3340 0.0000  6 Se 3.61-3.62
Dy: 0.1668 0.8332 0.5000  6 Se 2.91
Dy: 0.8332 0.1668 0.5000  6 Se 2.91
Sn: 0.5000 0.5000 0.5000  6 Se 2.93
Se: 0.1029 0.4385 0.3153  2 Dy 2.91, 1 Sn 2.93
Se: 0.2260 0.2260 0.6847  2 Dy 2.91, 1 Sn 2.93
Se: 0.4385 0.1029 0.3153  2 Dy 2.91, 1 Sn 2.93
Se: 0.5615 0.8971 0.6847  2 Dy 2.91, 1 Sn 2.93
Se: 0.7740 0.7740 0.3153  2 Dy 2.91, 1 Sn 2.93
Se: 0.8971 0.5615 0.6847  2 Dy 2.91, 1 Sn 2.93

The value obtained for the total energy is -4.43 eV/atom. The crystal system is monoclinic. Its symmetry is No. 12. The total magnetization is 0.0 μB/f.u. The density of states at the Fermi level comes out at 4.676 states/eV per cell. Its mass density is 5.48 g cm⁻³. The value obtained for the uncorrected formation energy is -1.37 eV per atom.

---

[6]
Below is crystalline CsDySnSe4 at its relaxed geometry, with properties calculated at the PBE level.

Cell lengths 6.9958, 7.3189, 9.9844 Å; angles 90.00, 108.66, 90.00 degrees
Last column: nearest neighbours and their distance in Å.
Fractional positions:
Cs: 0.2479 0.2500 0.0540  2 Se 3.45-3.65
Cs: 0.7521 0.7500 0.9460  2 Se 3.45-3.65
Dy: 0.2146 0.2500 0.5478  6 Se 2.87-2.99
Dy: 0.7854 0.7500 0.4522  6 Se 2.87-2.99
Sn: 0.2349 0.7500 0.3433  4 Se 2.51-2.58
Sn: 0.7651 0.2500 0.6567  4 Se 2.51-2.58
Se: 0.0218 0.5123 0.6914  1 Sn 2.58
Se: 0.0218 0.9877 0.6914  1 Sn 2.58
Se: 0.4472 0.7500 0.1820  1 Sn 2.52
Se: 0.4820 0.7500 0.5895  1 Sn 2.51
Se: 0.5180 0.2500 0.4105  1 Sn 2.51
Se: 0.5528 0.2500 0.8180  1 Sn 2.52
Se: 0.9782 0.0123 0.3086  1 Sn 2.58
Se: 0.9782 0.4877 0.3086  1 Sn 2.58

The value obtained for the total energy is -4.48 eV/atom. The crystal system is monoclinic. Its symmetry is No. 11. The total magnetization is 0.0 μB/f.u. Its mass density is 5.01 g cm⁻³. The value obtained for the uncorrected formation energy is -1.13 eV per atom.

---

[7]
Below is crystalline CsDySnSe3 at its relaxed geometry, with properties calculated at the PBE level.

Cell lengths 9.1711, 9.1711, 11.9897 Å; angles 90.00, 90.00, 153.88 degrees
Last column: nearest neighbours and their distance in Å.
Fractional positions:
Cs: 0.1969 0.8031 0.7500  2 Se 3.45
Cs: 0.8031 0.1969 0.2500  2 Se 3.45
Dy: 0.5000 0.5000 0.0000  6 Se 2.85-3.00
Dy: 0.5000 0.5000 0.5000  6 Se 2.85-3.00
Sn: 0.1060 0.8940 0.2500  4 Se 2.78-2.92
Sn: 0.8940 0.1060 0.7500  4 Se 2.78-2.92
Se: 0.1092 0.8908 0.0066  2 Dy 2.85, 1 Sn 2.92
Se: 0.1092 0.8908 0.4934  2 Dy 2.85, 1 Sn 2.92
Se: 0.4978 0.5022 0.7500  2 Sn 2.78, 2 Dy 3.00
Se: 0.5022 0.4978 0.2500  2 Sn 2.78, 2 Dy 3.00
Se: 0.8908 0.1092 0.5066  2 Dy 2.85, 1 Sn 2.92
Se: 0.8908 0.1092 0.9934  2 Dy 2.85, 1 Sn 2.92

The value obtained for the total energy is -4.53 eV/atom. The crystal system is orthorhombic. Its symmetry is No. 63. The total magnetization is 0.0 μB/f.u. Its mass density is 4.87 g cm⁻³. The value obtained for the uncorrected formation energy is -1.21 eV per atom.

---

[8]
Below is crystalline Cs3SrDy2Se6 at its relaxed geometry, with properties calculated at the PBE level.

Cell lengths 7.5776, 7.5776, 8.7504 Å; angles 98.31, 98.31, 120.03 degrees
Last column: nearest neighbours and their distance in Å.
Fractional positions:
Cs: 0.0000 0.0000 0.0000  6 Se 3.53-3.69
Cs: 0.3387 0.6613 0.0000  6 Se 3.55-3.69
Cs: 0.6613 0.3387 0.0000  6 Se 3.55-3.69
Sr: 0.5000 0.5000 0.5000  6 Se 3.11-3.13
Dy: 0.1672 0.8328 0.5000  6 Se 2.91
Dy: 0.8328 0.1672 0.5000  6 Se 2.91
Se: 0.0811 0.4367 0.3107  2 Dy 2.91, 1 Sr 3.13
Se: 0.2069 0.2069 0.6866  2 Dy 2.91, 1 Sr 3.11
Se: 0.4367 0.0811 0.3107  2 Dy 2.91, 1 Sr 3.13
Se: 0.5633 0.9189 0.6893  2 Dy 2.91, 1 Sr 3.13
Se: 0.7931 0.7931 0.3134  2 Dy 2.91, 1 Sr 3.11
Se: 0.9189 0.5633 0.6893  2 Dy 2.91, 1 Sr 3.13

The value obtained for the total energy is -4.45 eV/atom. The crystal system is monoclinic. Its symmetry is No. 12. The total magnetization is 0.0 μB/f.u. The density of states at the Fermi level comes out at 11.176 states/eV per cell. Its mass density is 5.12 g cm⁻³. The value obtained for the uncorrected formation energy is -1.59 eV per atom.

---

[9]
Below is crystalline Cs4TbDy3Se8 at its relaxed geometry, with properties calculated at the PBE level.

Cell lengths 8.5433, 8.5433, 9.7243 Å; angles 116.07, 116.07, 59.99 degrees
Last column: nearest neighbours and their distance in Å.
Fractional positions:
Cs: 0.0000 0.0000 0.0000  6 Se 3.61
Cs: 0.0000 0.5000 0.0000  6 Se 3.61
Cs: 0.5000 0.0000 0.0000  6 Se 3.61
Cs: 0.5000 0.5000 0.0000  6 Se 3.60-3.61
Tb: 0.0000 0.0000 0.5000  6 Se 2.92
Dy: 0.0000 0.5000 0.5000  6 Se 2.91-2.92
Dy: 0.5000 0.0000 0.5000  6 Se 2.91-2.92
Dy: 0.5000 0.5000 0.5000  6 Se 2.91-2.92
Se: 0.2287 0.2287 0.6852  2 Dy 2.91, 1 Tb 2.92
Se: 0.2296 0.7274 0.6857  2 Dy 2.91-2.92, 1 Tb 2.92
Se: 0.2712 0.2712 0.3149  3 Dy 2.91-2.92
Se: 0.2726 0.7704 0.3143  2 Dy 2.91-2.92, 1 Tb 2.92
Se: 0.7274 0.2296 0.6857  2 Dy 2.91-2.92, 1 Tb 2.92
Se: 0.7288 0.7288 0.6851  3 Dy 2.91-2.92
Se: 0.7704 0.2726 0.3143  2 Dy 2.91-2.92, 1 Tb 2.92
Se: 0.7713 0.7713 0.3148  2 Dy 2.91, 1 Tb 2.92

The value obtained for the total energy is -4.84 eV/atom. The crystal system is monoclinic. Its symmetry is No. 12. The total magnetization is 0.0 μB/f.u. The density of states at the Fermi level comes out at 0.000 states/eV per cell. Its mass density is 5.67 g cm⁻³. The value obtained for the uncorrected formation energy is -1.73 eV per atom.

---

[10]
Below is crystalline Cs2TbDySe4 at its relaxed geometry, with properties calculated at the PBE level.

Cell lengths 7.4066, 4.2767, 8.7307 Å; angles 90.00, 106.41, 90.00 degrees
Last column: nearest neighbours and their distance in Å.
Fractional positions:
Cs: 0.0000 0.0000 0.0000  6 Se 3.61
Cs: 0.5000 0.5000 0.0000  6 Se 3.60-3.61
Tb: 0.0000 0.5000 0.5000  6 Se 2.92
Dy: 0.5000 0.0000 0.5000  6 Se 2.91
Se: 0.2295 0.0000 0.6859  1 Dy 2.91, 2 Tb 2.92
Se: 0.2725 0.5000 0.3145  2 Dy 2.91, 1 Tb 2.92
Se: 0.7275 0.5000 0.6855  2 Dy 2.91, 1 Tb 2.92
Se: 0.7705 0.0000 0.3141  1 Dy 2.91, 2 Tb 2.92

The value obtained for the total energy is -4.84 eV/atom. The crystal system is monoclinic. Its symmetry is No. 10. The total magnetization is 0.0 μB/f.u. The density of states at the Fermi level comes out at 0.000 states/eV per cell. Its mass density is 5.65 g cm⁻³. The value obtained for the uncorrected formation energy is -1.73 eV per atom.

---

[11]
Below is crystalline Cs3TbDy2Se6 at its relaxed geometry, with properties calculated at the PBE level.

Cell lengths 7.4005, 7.4005, 8.7320 Å; angles 98.12, 98.12, 120.00 degrees
Last column: nearest neighbours and their distance in Å.
Fractional positions:
Cs: 0.0000 0.0000 0.0000  6 Se 3.60-3.61
Cs: 0.3334 0.6666 0.0000  6 Se 3.60-3.61
Cs: 0.6666 0.3334 0.0000  6 Se 3.60-3.61
Tb: 0.5000 0.5000 0.5000  6 Se 2.92
Dy: 0.1667 0.8333 0.5000  6 Se 2.91
Dy: 0.8333 0.1667 0.5000  6 Se 2.91
Se: 0.1037 0.4381 0.3144  2 Dy 2.91, 1 Tb 2.92
Se: 0.2275 0.2275 0.6856  2 Dy 2.91, 1 Tb 2.92
Se: 0.4381 0.1037 0.3144  2 Dy 2.91, 1 Tb 2.92
Se: 0.5619 0.8963 0.6856  2 Dy 2.91, 1 Tb 2.92
Se: 0.7725 0.7725 0.3144  2 Dy 2.91, 1 Tb 2.92
Se: 0.8963 0.5619 0.6856  2 Dy 2.91, 1 Tb 2.92

The value obtained for the total energy is -4.84 eV/atom. The crystal system is monoclinic. Its symmetry is No. 12. The total magnetization is 0.0 μB/f.u. The density of states at the Fermi level comes out at 0.000 states/eV per cell. Its mass density is 5.67 g cm⁻³. The value obtained for the uncorrected formation energy is -1.73 eV per atom.

---

[12]
Below is crystalline Cs4Tb3DySe8 at its relaxed geometry, with properties calculated at the PBE level.

Cell lengths 9.7304, 9.7304, 9.7304 Å; angles 52.19, 52.19, 52.19 degrees
Last column: nearest neighbours and their distance in Å.
Fractional positions:
Cs: 0.0000 0.0000 0.0000  6 Se 3.61
Cs: 0.0000 0.5000 0.5000  6 Se 3.61
Cs: 0.5000 0.0000 0.5000  6 Se 3.61
Cs: 0.5000 0.5000 0.0000  6 Se 3.61
Tb: 0.0000 0.0000 0.5000  6 Se 2.92
Tb: 0.0000 0.5000 0.0000  6 Se 2.92
Tb: 0.5000 0.0000 0.0000  6 Se 2.92
Dy: 0.5000 0.5000 0.5000  6 Se 2.92
Se: 0.2287 0.2287 0.2287  3 Tb 2.92
Se: 0.2293 0.7283 0.7283  1 Dy 2.92, 2 Tb 2.92
Se: 0.2717 0.2717 0.7707  1 Dy 2.92, 2 Tb 2.92
Se: 0.2717 0.7707 0.2717  1 Dy 2.92, 2 Tb 2.92
Se: 0.7283 0.2293 0.7283  1 Dy 2.92, 2 Tb 2.92
Se: 0.7283 0.7283 0.2293  1 Dy 2.92, 2 Tb 2.92
Se: 0.7707 0.2717 0.2717  1 Dy 2.92, 2 Tb 2.92
Se: 0.7713 0.7713 0.7713  3 Tb 2.92

The value obtained for the total energy is -4.84 eV/atom. The crystal system is trigonal. Its symmetry is No. 166. The total magnetization is 0.0 μB/f.u. The density of states at the Fermi level comes out at 0.000 states/eV per cell. Its mass density is 5.63 g cm⁻³. The value obtained for the uncorrected formation energy is -1.73 eV per atom.

---

What did the ninth record say?
Below is crystalline Cs4TbDy3Se8 at its relaxed geometry, with properties calculated at the PBE level.

Cell lengths 8.5433, 8.5433, 9.7243 Å; angles 116.07, 116.07, 59.99 degrees
Last column: nearest neighbours and their distance in Å.
Fractional positions:
Cs: 0.0000 0.0000 0.0000  6 Se 3.61
Cs: 0.0000 0.5000 0.0000  6 Se 3.61
Cs: 0.5000 0.0000 0.0000  6 Se 3.61
Cs: 0.5000 0.5000 0.0000  6 Se 3.60-3.61
Tb: 0.0000 0.0000 0.5000  6 Se 2.92
Dy: 0.0000 0.5000 0.5000  6 Se 2.91-2.92
Dy: 0.5000 0.0000 0.5000  6 Se 2.91-2.92
Dy: 0.5000 0.5000 0.5000  6 Se 2.91-2.92
Se: 0.2287 0.2287 0.6852  2 Dy 2.91, 1 Tb 2.92
Se: 0.2296 0.7274 0.6857  2 Dy 2.91-2.92, 1 Tb 2.92
Se: 0.2712 0.2712 0.3149  3 Dy 2.91-2.92
Se: 0.2726 0.7704 0.3143  2 Dy 2.91-2.92, 1 Tb 2.92
Se: 0.7274 0.2296 0.6857  2 Dy 2.91-2.92, 1 Tb 2.92
Se: 0.7288 0.7288 0.6851  3 Dy 2.91-2.92
Se: 0.7704 0.2726 0.3143  2 Dy 2.91-2.92, 1 Tb 2.92
Se: 0.7713 0.7713 0.3148  2 Dy 2.91, 1 Tb 2.92

The value obtained for the total energy is -4.84 eV/atom. The crystal system is monoclinic. Its symmetry is No. 12. The total magnetization is 0.0 μB/f.u. The density of states at the Fermi level comes out at 0.000 states/eV per cell. Its mass density is 5.67 g cm⁻³. The value obtained for the uncorrected formation energy is -1.73 eV per atom.